--- P ---
Here is a relaxed structure of LiCuAg4 from Alexandria via LeMat-Bulk. Energies are from GGA-PBE.

Results
Total magnetization (μB per atom): 0.000
Space group: P1, No. 1

abc: 2.833 4.765 7.586
angles: 90.00 90.01 90.01
Sites, in units of the cell vectors:
Li: 0.000 0.000 0.000
Cu: 0.513 0.502 0.499
Ag: 0.011 0.500 0.191
Ag: 0.013 0.500 0.808
Ag: 0.508 0.001 0.314
Ag: 0.509 0.001 0.685

***

--- Q ---
Here is a relaxed structure of LiCuAg4 from Alexandria via LeMat-Bulk. Energies are from GGA-PBE.

Results
Total magnetization (μB per atom): 0.000
Space group: F-43m, No. 216

abc: 5.453 5.453 5.453
angles: 60.00 60.00 60.00
Sites, in units of the cell vectors:
Li: 0.000 0.000 0.000
Cu: 0.250 0.250 0.250
Ag: 0.125 0.625 0.625
Ag: 0.625 0.125 0.625
Ag: 0.625 0.625 0.125
Ag: 0.625 0.625 0.625

***

Which one sits at the top of the stability order? P does.

***

--- P ---
Here is a relaxed structure of Li3CuAg2 from Alexandria via LeMat-Bulk. Energies are from GGA-PBE.

Results
Total magnetization (μB per atom): 0.000
Space group: C2/c, No. 15

abc: 4.832 4.832 8.912
angles: 99.94 99.94 109.77
Sites, in units of the cell vectors:
Li: 0.050 0.300 0.599
Li: 0.125 0.875 0.750
Li: 0.300 0.050 0.099
Li: 0.700 0.950 0.901
Li: 0.875 0.125 0.250
Li: 0.950 0.700 0.401
Cu: 0.375 0.625 0.250
Cu: 0.625 0.375 0.750
Ag: 0.209 0.458 0.917
Ag: 0.458 0.209 0.417
Ag: 0.542 0.791 0.583
Ag: 0.791 0.542 0.083

***

--- Q ---
Here is a relaxed structure of Li3CuAg2 from Alexandria via LeMat-Bulk. Energies are from GGA-PBE.

Results
Total magnetization (μB per atom): 0.000
Space group: Fmmm, No. 69

abc: 8.839 8.213 5.117
angles: 79.37 65.95 34.68
Sites, in units of the cell vectors:
Li: 0.164 0.666 0.334
Li: 0.174 0.174 0.826
Li: 0.334 0.836 0.164
Li: 0.666 0.164 0.836
Li: 0.826 0.826 0.174
Li: 0.836 0.334 0.666
Cu: 0.337 0.337 0.663
Cu: 0.663 0.663 0.337
Ag: 0.250 0.250 0.250
Ag: 0.251 0.749 0.749
Ag: 0.749 0.251 0.251
Ag: 0.750 0.750 0.750

***

Which one sits at the top of the stability order? P does.